The following is a PBE calculation of a geometry-optimized Cs3LaB structure, from the Alexandria database.

Values from the calculation:
Density in g/cm³: 2.7
Formation enthalpy at 0 K in meV per atom: 1833
Magnetization in μB per atom: 0.0001
Total DFT energy (no corrections) in eV/atom: -1.000

Unit cell a=6.9222 b=6.9222 c=6.9222 alpha=90.00 beta=90.00 gamma=90.00
Atoms (fractional coordinates):
Cs 0.0000 0.0000 0.5000
Cs 0.0000 0.5000 0.0000
Cs 0.5000 0.0000 0.0000
La 0.0000 0.0000 0.0000
B 0.5000 0.5000 0.5000



The following is a PBE calculation of a geometry-optimized CsLa2B structure, from the Alexandria database.

Values from the calculation:
Density in g/cm³: 4.3
Formation enthalpy at 0 K in meV per atom: 578
Magnetization in μB per atom: 0.0000
Total DFT energy (no corrections) in eV/atom: -3.768

Unit cell a=7.5291 b=7.5291 c=7.5291 alpha=110.27 beta=110.27 gamma=107.88
Atoms (fractional coordinates):
Cs 0.0000 0.0000 0.0000
Cs 0.7500 0.2500 0.5000
La 0.2693 0.6250 0.1443
La 0.3750 0.5193 0.6443
La 0.4807 0.1250 0.8557
La 0.8750 0.7307 0.3557
B 0.2500 0.7500 0.5000
B 0.5000 0.5000 0.0000



The following is a PBE calculation of a geometry-optimized CsLa3B structure, from the Alexandria database.

Values from the calculation:
Density in g/cm³: 5.2
Formation enthalpy at 0 K in meV per atom: 387
Magnetization in μB per atom: 0.0000
Total DFT energy (no corrections) in eV/atom: -4.076

Unit cell a=5.6227 b=5.6227 c=5.6227 alpha=90.00 beta=90.00 gamma=90.00
Atoms (fractional coordinates):
Cs 0.0000 0.0000 0.0000
La 0.0000 0.5000 0.5000
La 0.5000 0.0000 0.5000
La 0.5000 0.5000 0.0000
B 0.5000 0.5000 0.5000



Repeat the third record exactly.
The following is a PBE calculation of a geometry-optimized CsLa3B structure, from the Alexandria database.

Values from the calculation:
Density in g/cm³: 5.2
Formation enthalpy at 0 K in meV per atom: 387
Magnetization in μB per atom: 0.0000
Total DFT energy (no corrections) in eV/atom: -4.076

Unit cell a=5.6227 b=5.6227 c=5.6227 alpha=90.00 beta=90.00 gamma=90.00
Atoms (fractional coordinates):
Cs 0.0000 0.0000 0.0000
La 0.0000 0.5000 0.5000
La 0.5000 0.0000 0.5000
La 0.5000 0.5000 0.0000
B 0.5000 0.5000 0.5000